i:
VASP calculation (PBE) on a geometry-optimized Dy2PaSe5 structure.

Structure (POSCAR):
```
Dy2PaSe5
1.0
5.617 0.000 0.000
-2.809 6.805 0.000
0.000 0.000 13.788
Dy Pa Se
4 2 10
direct
0.853 0.707 0.446 Dy
0.853 0.707 0.054 Dy
0.147 0.293 0.554 Dy
0.147 0.293 0.946 Dy
0.796 0.593 0.750 Pa
0.204 0.407 0.250 Pa
0.954 0.907 0.878 Se
0.954 0.907 0.622 Se
0.320 0.640 0.428 Se
0.320 0.640 0.072 Se
0.756 0.511 0.250 Se
0.244 0.489 0.750 Se
0.680 0.360 0.572 Se
0.680 0.360 0.928 Se
0.046 0.093 0.122 Se
0.046 0.093 0.378 Se
```

calculated density = 5.991 Mg/m³
magnetization = 2.04 Bohr magnetons per cell
DOS at the Fermi energy = 7.6 states/eV/cell
space group = Cmcm, No. 63

---

ii:
VASP calculation (PBE) on a geometry-optimized Dy2PaSe5 structure.

Structure (POSCAR):
```
Dy2PaSe5
1.0
-3.620 4.188 -0.817
-3.440 1.557 4.059
3.397 7.081 2.090
Dy Pa Se
2 1 5
direct
0.819 0.500 0.862 Dy
0.181 0.500 0.138 Dy
0.500 0.500 0.500 Pa
0.181 0.830 0.808 Se
0.489 0.830 0.192 Se
0.000 0.500 0.500 Se
0.819 0.170 0.192 Se
0.511 0.170 0.808 Se
```

calculated density = 7.726 Mg/m³
magnetization = 0.35 Bohr magnetons per cell
DOS at the Fermi energy = 3.3 states/eV/cell
space group = Fmmm, No. 69

---

Order of stability, best first: i, ii

---

i:
VASP calculation (PBE) on a geometry-optimized DyPaSe3 structure.

Structure (POSCAR):
```
DyPaSe3
1.0
4.093 0.000 0.000
-2.046 3.544 0.000
0.000 0.000 20.745
Dy Pa Se
2 2 6
direct
0.000 0.000 0.965 Dy
0.000 0.000 0.465 Dy
0.667 0.333 0.288 Pa
0.333 0.667 0.788 Pa
0.000 0.000 0.712 Se
0.000 0.000 0.212 Se
0.667 0.333 0.876 Se
0.333 0.667 0.376 Se
0.333 0.667 0.034 Se
0.667 0.333 0.534 Se
```

calculated density = 6.958 Mg/m³
magnetization = 3.40 Bohr magnetons per cell
DOS at the Fermi energy = 11.9 states/eV/cell
space group = P6_3mc, No. 186

---

ii:
VASP calculation (PBE) on a geometry-optimized DyPaSe3 structure.

Structure (POSCAR):
```
DyPaSe3
1.0
-1.024 0.574 -3.870
-7.181 -2.367 1.549
-4.155 14.758 3.287
Dy Pa Se
4 4 12
direct
0.250 0.263 0.956 Dy
0.250 0.763 0.544 Dy
0.750 0.237 0.456 Dy
0.750 0.737 0.044 Dy
0.750 0.878 0.792 Pa
0.250 0.122 0.208 Pa
0.750 0.378 0.708 Pa
0.250 0.622 0.292 Pa
0.250 0.379 0.569 Se
0.750 0.845 0.223 Se
0.750 0.496 0.892 Se
0.750 0.996 0.608 Se
0.750 0.621 0.431 Se
0.250 0.004 0.392 Se
0.250 0.879 0.931 Se
0.750 0.345 0.277 Se
0.250 0.655 0.723 Se
0.250 0.155 0.777 Se
0.750 0.121 0.069 Se
0.250 0.504 0.108 Se
```

calculated density = 8.557 Mg/m³
magnetization = 5.62 Bohr magnetons per cell
DOS at the Fermi energy = 17.6 states/eV/cell
space group = Pnma, No. 62

---

Order of stability, best first: ii, i

---

i:
VASP calculation (PBE) on a geometry-optimized DyPa2Si structure.

Structure (POSCAR):
```
DyPa2Si
1.0
4.906 0.000 0.000
0.000 4.312 0.000
0.000 0.000 4.312
Si Pa Dy
1 2 1
direct
0.500 0.000 0.000 Si
0.000 0.000 0.500 Pa
0.000 0.500 0.000 Pa
0.500 0.500 0.500 Dy
```

calculated density = 11.881 Mg/m³
magnetization = 0.00 Bohr magnetons per cell
DOS at the Fermi energy = 5.7 states/eV/cell
space group = P4/mmm, No. 123

---

ii:
VASP calculation (PBE) on a geometry-optimized DyPa2Si structure.

Structure (POSCAR):
```
DyPa2Si
1.0
3.177 0.000 0.000
1.588 2.751 0.000
1.588 0.917 11.192
Si Pa Dy
1 2 1
direct
0.500 0.500 0.500 Si
0.097 0.097 0.710 Pa
0.903 0.903 0.290 Pa
0.000 0.000 0.000 Dy
```

calculated density = 11.080 Mg/m³
magnetization = 0.00 Bohr magnetons per cell
DOS at the Fermi energy = 7.5 states/eV/cell
space group = R-3m, No. 166

---

Order of stability, best first: i, ii

---

i:
VASP calculation (PBE) on a geometry-optimized TbDyPa structure.

Structure (POSCAR):
```
TbDyPa
1.0
-2.539 1.590 1.606
-2.251 -1.997 -1.581
2.850 -4.804 5.663
Pa Tb Dy
1 1 1
direct
0.333 0.333 0.666 Pa
0.990 0.990 0.980 Tb
0.677 0.677 0.354 Dy
```

calculated density = 10.469 Mg/m³
magnetization = 0.02 Bohr magnetons per cell
DOS at the Fermi energy = 5.1 states/eV/cell
space group = I4mm, No. 107

---

ii:
VASP calculation (PBE) on a geometry-optimized TbDyPa structure.

Structure (POSCAR):
```
TbDyPa
1.0
5.486 0.000 0.000
0.000 8.468 0.000
0.000 0.000 8.468
Pa Tb Dy
4 4 4
direct
0.000 0.500 0.657 Pa
0.500 0.343 0.500 Pa
0.500 0.657 0.500 Pa
0.000 0.500 0.343 Pa
0.000 0.835 0.500 Tb
0.500 0.500 0.835 Tb
0.500 0.500 0.165 Tb
0.000 0.165 0.500 Tb
0.000 0.771 0.000 Dy
0.500 0.000 0.771 Dy
0.500 0.000 0.229 Dy
0.000 0.229 0.000 Dy
```

calculated density = 9.329 Mg/m³
magnetization = 0.00 Bohr magnetons per cell
DOS at the Fermi energy = 24.3 states/eV/cell
space group = P4_2/mmc, No. 131

---

Order of stability, best first: i, ii

---

i:
VASP calculation (PBE) on a geometry-optimized DyPaTc2 structure.

Structure (POSCAR):
```
DyPaTc2
1.0
-0.759 -2.149 4.274
-2.792 -3.949 0.263
1.991 -4.317 0.928
Pa Tc Dy
1 2 1
direct
0.000 0.000 0.000 Pa
0.250 0.250 0.250 Tc
0.750 0.750 0.750 Tc
0.500 0.500 0.500 Dy
```

calculated density = 12.184 Mg/m³
magnetization = 0.00 Bohr magnetons per cell
DOS at the Fermi energy = 2.4 states/eV/cell
space group = Fm-3m, No. 225

---

ii:
VASP calculation (PBE) on a geometry-optimized DyPaTc2 structure.

Structure (POSCAR):
```
DyPaTc2
1.0
-1.604 1.540 2.600
-2.921 -1.546 -0.886
1.577 -5.357 4.145
Pa Tc Dy
1 2 1
direct
0.500 0.500 0.000 Pa
0.000 0.000 0.780 Tc
0.000 0.000 0.220 Tc
0.500 0.500 0.500 Dy
```

calculated density = 12.024 Mg/m³
magnetization = 0.00 Bohr magnetons per cell
DOS at the Fermi energy = 4.5 states/eV/cell
space group = P4/mmm, No. 123

---

iii:
VASP calculation (PBE) on a geometry-optimized DyPaTc2 structure.

Structure (POSCAR):
```
DyPaTc2
1.0
-0.270 3.293 0.850
-1.986 2.079 -1.837
-7.224 -0.019 4.623
Pa Tc Dy
1 2 1
direct
0.000 0.000 0.000 Pa
0.740 0.740 0.780 Tc
0.260 0.260 0.220 Tc
0.500 0.500 0.500 Dy
```

calculated density = 11.635 Mg/m³
magnetization = 0.00 Bohr magnetons per cell
DOS at the Fermi energy = 4.9 states/eV/cell
space group = R-3m, No. 166

---

Order of stability, best first: ii, i, iii

---

i:
VASP calculation (PBE) on a geometry-optimized DyPa2Tc structure.

Structure (POSCAR):
```
DyPa2Tc
1.0
-0.703 0.991 -3.078
-2.408 -2.263 -0.179
-5.787 5.905 3.223
Pa Tc Dy
2 1 1
direct
0.000 0.000 0.798 Pa
0.000 0.000 0.202 Pa
0.500 0.500 0.000 Tc
0.500 0.500 0.500 Dy
```

calculated density = 12.348 Mg/m³
magnetization = 0.00 Bohr magnetons per cell
DOS at the Fermi energy = 10.9 states/eV/cell
space group = P4/mmm, No. 123

---

ii:
VASP calculation (PBE) on a geometry-optimized DyPa2Tc structure.

Structure (POSCAR):
```
DyPa2Tc
1.0
-2.526 -2.680 -0.336
0.031 -2.208 -2.966
4.550 -7.232 3.126
Pa Tc Dy
2 1 1
direct
0.270 0.270 0.191 Pa
0.730 0.730 0.809 Pa
0.000 0.000 0.000 Tc
0.500 0.500 0.500 Dy
```

calculated density = 11.457 Mg/m³
magnetization = 0.00 Bohr magnetons per cell
DOS at the Fermi energy = 7.0 states/eV/cell
space group = R-3m, No. 166

---

Order of stability, best first: i, ii